Record 1
First-principles (PBE-GGA) data for a relaxed structure of HfCu2Ru2, as listed in the Alexandria database.

Summary:
Symmetry   P4/mbm
Excess energy over the best structure of this formula in the dataset   0.31 eV per formula unit

Cell lengths 7.0615, 7.0615, 2.9965 Å; angles 90.00, 90.00, 90.00 degrees
Atoms (fractional coordinates):
Hf: 0.0000 0.0000 0.0000
Hf: 0.5000 0.5000 0.0000
Cu: 0.1703 0.3297 0.5000
Cu: 0.3297 0.8297 0.5000
Cu: 0.6703 0.1703 0.5000
Cu: 0.8297 0.6703 0.5000
Ru: 0.1260 0.6260 0.0000
Ru: 0.3740 0.1260 0.0000
Ru: 0.6260 0.8740 0.0000
Ru: 0.8740 0.3740 0.0000

=====

Record 2
First-principles (PBE-GGA) data for a relaxed structure of Hf2CuRu, as listed in the Alexandria database.

Summary:
Symmetry   P4/mmm

Cell lengths 3.2181, 3.2181, 6.6076 Å; angles 90.00, 90.00, 90.00 degrees
Atoms (fractional coordinates):
Hf: 0.0000 0.0000 0.2486
Hf: 0.0000 0.0000 0.7514
Cu: 0.5000 0.5000 0.5000
Ru: 0.5000 0.5000 0.0000

=====

So what do the calculations give for DFT formation energy? Going down the list: 0.130, -0.446 eV/atom.
So what do the calculations give for electronic total energy? Going down the list: -0.5299, -0.6443 Ry/atom.
So what do the calculations give for M_tot? Going down the list: 0.0, 0.0 Bohr magnetons per cell.